Record 1
The following is a PBE calculation of a relaxed structure of TbPr2Dy6Er, from the Alexandria database.

Results
**Space-group type**: No. 15
**Formation energy from the elements**: 0.117 eV per atom
**Magnetization**: 0.00 μB per formula unit

Structure (POSCAR):
```
TbPr2Dy6Er
1.0
4.5166 -7.5314 0.0000
4.5166 7.5314 0.0000
-1.5400 0.0000 9.6121
Tb Pr Dy Er
2 4 12 2
Cartesian
3.3616 7.2734 7.2091 Tb
4.1316 -7.2734 2.4030 Tb
1.3773 0.7744 5.2110 Pr
2.1472 -0.7744 0.4050 Pr
5.3459 0.7744 9.2071 Pr
6.1159 -0.7744 4.4011 Pr
1.6344 4.1797 6.6141 Dy
3.8295 4.6588 0.5504 Dy
4.4337 4.6588 4.2556 Dy
2.2459 1.5879 8.4666 Dy
5.0888 4.1797 7.8040 Dy
4.4772 1.5879 5.9515 Dy
3.0159 -1.5879 3.6605 Dy
2.4044 -4.1797 1.8081 Dy
5.2472 -1.5879 1.1455 Dy
3.0595 -4.6588 5.3565 Dy
3.6637 -4.6588 9.0616 Dy
5.8588 -4.1797 2.9979 Dy
4.1316 1.4047 2.4030 Er
3.3616 -1.4047 7.2091 Er
```



Record 2
The following is a PBE calculation of a relaxed structure of TbPr2DyEr, from the Alexandria database.

Results
**Space-group type**: No. 63
**Formation energy from the elements**: 0.432 eV per atom
**Magnetization**: 0.00 μB per formula unit

Structure (POSCAR):
```
TbPr2DyEr
1.0
4.2154 -5.8056 0.0000
4.2154 5.8056 0.0000
0.0000 0.0000 7.3086
Tb Pr Dy Er
2 4 2 2
Cartesian
4.2154 5.5324 5.4815 Tb
4.2154 -5.5324 1.8272 Tb
2.5818 0.0000 0.0000 Pr
2.5818 0.0000 3.6543 Pr
5.8490 0.0000 0.0000 Pr
5.8490 0.0000 3.6543 Pr
4.2154 2.8061 1.8272 Dy
4.2154 -2.8061 5.4815 Dy
4.2154 2.4772 5.4815 Er
4.2154 -2.4772 1.8272 Er
```



Record 3
The following is a PBE calculation of a relaxed structure of PrDy2Er3Te6, from the Alexandria database.

Results
**Raw formation energy**: -1.273 eV per atom
**Space-group type**: No. 12
**Magnetization**: 0.00 μB per formula unit

Structure (POSCAR):
```
PrDy2Er3Te6
1.0
9.5533 -2.1645 0.0000
9.5533 2.1645 0.0000
-2.1407 0.0000 8.5436
Pr Dy Er Te
1 2 3 6
Cartesian
0.0000 0.0000 0.0000 Pr
4.9883 0.0000 5.7497 Dy
11.9776 0.0000 2.7940 Dy
-1.0703 0.0000 4.2718 Er
6.1112 0.0000 1.4420 Er
10.8547 0.0000 7.1016 Er
1.9494 0.0000 4.9896 Te
3.1326 0.0000 0.7067 Te
7.9646 0.0000 6.3020 Te
9.0012 0.0000 2.2417 Te
13.8333 0.0000 7.8369 Te
15.0164 0.0000 3.5540 Te
```



Record 4
The following is a PBE calculation of a relaxed structure of PrDyEr2Te6, from the Alexandria database.

Results
**Raw formation energy**: -1.355 eV per atom
**Space-group type**: No. 146
**Magnetization**: 0.00 μB per formula unit

Structure (POSCAR):
```
PrDyEr2Te6
1.0
3.8770 2.2384 7.0270
-3.8770 2.2384 7.0270
0.0000 -4.4768 7.0270
Pr Dy Er Te
1 1 2 6
Cartesian
0.0000 0.0000 0.0000 Pr
0.0000 0.0000 10.6205 Dy
0.0000 0.0000 3.9782 Er
0.0000 0.0000 14.5725 Er
-1.2717 -2.3780 9.1345 Te
-2.3767 0.1461 12.6186 Te
-1.4235 2.2903 9.1345 Te
1.0618 -2.1314 12.6186 Te
2.6953 0.0876 9.1345 Te
1.3149 1.9852 12.6186 Te
```



Record 5
The following is a PBE calculation of a relaxed structure of PrDy2ErTe6, from the Alexandria database.

Results
**Raw formation energy**: -1.360 eV per atom
**Space-group type**: No. 146
**Magnetization**: 0.00 μB per formula unit

Structure (POSCAR):
```
PrDy2ErTe6
1.0
3.8822 2.2414 7.0549
-3.8822 2.2414 7.0549
0.0000 -4.4828 7.0549
Pr Dy Er Te
1 2 1 6
Cartesian
0.0000 0.0000 0.0000 Pr
0.0000 0.0000 6.5377 Dy
0.0000 0.0000 17.1776 Dy
0.0000 0.0000 10.5037 Er
-2.3743 -0.1095 8.5339 Te
-1.4159 -2.2500 12.0185 Te
1.2820 -2.0015 8.5340 Te
-1.2407 2.3512 12.0185 Te
1.0923 2.1110 8.5340 Te
2.6565 -0.1012 12.0185 Te
```



Record 6
The following is a PBE calculation of a relaxed structure of Pr3Dy2ErTe6, from the Alexandria database.

Results
**Raw formation energy**: -1.355 eV per atom
**Space-group type**: No. 12
**Magnetization**: 0.00 μB per formula unit

Structure (POSCAR):
```
Pr3Dy2ErTe6
1.0
9.7469 -2.1855 0.0000
9.7469 2.1855 0.0000
-2.3682 0.0000 8.6991
Pr Dy Er Te
3 2 1 6
Cartesian
0.0000 0.0000 0.0000 Pr
4.8959 0.0000 5.7998 Pr
12.2297 0.0000 2.8992 Pr
6.0890 0.0000 1.4409 Dy
11.0367 0.0000 7.2582 Dy
-1.1841 0.0000 4.3495 Er
1.7587 0.0000 5.1390 Te
3.1281 0.0000 0.6499 Te
9.0699 0.0000 2.2673 Te
8.0558 0.0000 6.4318 Te
13.9975 0.0000 8.0492 Te
15.3670 0.0000 3.5601 Te
```



Record 7
The following is a PBE calculation of a relaxed structure of Pr2DyEr3Te6, from the Alexandria database.

Results
**Raw formation energy**: -1.303 eV per atom
**Space-group type**: No. 12
**Magnetization**: 0.00 μB per formula unit

Structure (POSCAR):
```
Pr2DyEr3Te6
1.0
9.6529 -2.1714 0.0000
9.6529 2.1714 0.0000
-2.2664 0.0000 8.6064
Pr Dy Er Te
2 1 3 6
Cartesian
2.5137 0.0000 2.9092 Pr
14.5257 0.0000 5.6972 Pr
9.6529 0.0000 0.0000 Dy
1.4342 0.0000 7.1977 Er
8.5197 0.0000 4.3032 Er
15.6052 0.0000 1.4087 Er
-1.6048 0.0000 6.4601 Te
4.3716 0.0000 7.9930 Te
5.6242 0.0000 3.4945 Te
11.4152 0.0000 5.1119 Te
12.6678 0.0000 0.6134 Te
18.6442 0.0000 2.1463 Te
```



Record 8
The following is a PBE calculation of a relaxed structure of Pr4DyEr2Th, from the Alexandria database.

Results
**Space-group type**: No. 47
**Formation energy from the elements**: 0.041 eV per atom
**Magnetization**: 0.00 μB per formula unit

Structure (POSCAR):
```
Pr4DyEr2Th
1.0
5.1187 0.0000 0.0000
0.0000 5.1296 0.0000
0.0000 0.0000 10.2554
Pr Dy Er Th
4 1 2 1
Cartesian
0.0000 0.0000 2.5420 Pr
0.0000 0.0000 7.7134 Pr
2.5594 2.5648 2.5519 Pr
2.5594 2.5648 7.7035 Pr
2.5594 0.0000 5.1277 Dy
0.0000 2.5648 5.1277 Er
2.5594 0.0000 0.0000 Er
0.0000 2.5648 0.0000 Th
```



Record 9
The following is a PBE calculation of a relaxed structure of Pr2DyEr5Th, from the Alexandria database.

Results
**Space-group type**: No. 140
**Formation energy from the elements**: 0.294 eV per atom
**Magnetization**: 0.00 μB per formula unit

Structure (POSCAR):
```
Pr2DyEr5Th
1.0
-4.3436 4.3436 7.7128
4.3436 -4.3436 7.7128
4.3436 4.3436 -7.7128
Pr Dy Er Th
4 2 10 2
Cartesian
5.3594 1.0158 0.0000 Pr
1.0158 3.3278 0.0000 Pr
3.3278 1.0158 7.7128 Pr
-1.0158 3.3278 7.7128 Pr
4.3436 0.0000 3.8564 Dy
0.0000 4.3436 3.8564 Dy
0.0000 0.0000 0.0000 Er
2.4867 1.8569 -2.1683 Er
2.4867 -1.8569 5.5446 Er
2.4867 1.8569 2.1683 Er
2.4867 -1.8569 9.8811 Er
0.0000 0.0000 7.7128 Er
1.8569 6.2004 -2.1683 Er
1.8569 2.4867 5.5446 Er
1.8569 6.2004 2.1683 Er
1.8569 2.4867 9.8811 Er
0.0000 0.0000 3.8564 Th
0.0000 0.0000 11.5692 Th
```



Record 10
The following is a PBE calculation of a relaxed structure of PrDyErTh2, from the Alexandria database.

Results
**Space-group type**: No. 63
**Formation energy from the elements**: 0.367 eV per atom
**Magnetization**: 0.00 μB per formula unit

Structure (POSCAR):
```
PrDyErTh2
1.0
3.3487 -7.8266 0.0000
3.3487 7.8266 0.0000
0.0000 0.0000 6.6981
Pr Dy Er Th
2 2 2 4
Cartesian
3.3487 3.9299 5.0236 Pr
3.3487 -3.9299 1.6745 Pr
3.3487 5.4601 1.6745 Dy
3.3487 -5.4601 5.0236 Dy
3.3487 2.3555 1.6745 Er
3.3487 -2.3555 5.0236 Er
1.6751 0.0000 0.0000 Th
1.6751 0.0000 3.3491 Th
5.0223 0.0000 0.0000 Th
5.0223 0.0000 3.3491 Th
```



Record 11
The following is a PBE calculation of a relaxed structure of PrDy2Er5Th, from the Alexandria database.

Results
**Space-group type**: No. 140
**Formation energy from the elements**: 0.311 eV per atom
**Magnetization**: 0.00 μB per formula unit

Structure (POSCAR):
```
PrDy2Er5Th
1.0
-4.3681 4.3681 7.5185
4.3681 -4.3681 7.5185
4.3681 4.3681 -7.5185
Pr Dy Er Th
2 4 10 2
Cartesian
4.3681 0.0000 3.7593 Pr
0.0000 4.3681 3.7593 Pr
5.3726 1.0045 0.0000 Dy
1.0045 3.3637 0.0000 Dy
3.3637 1.0045 7.5185 Dy
-1.0045 3.3637 7.5185 Dy
0.0000 0.0000 0.0000 Er
2.5499 1.8182 -2.0398 Er
2.5499 -1.8182 5.4787 Er
2.5499 1.8182 2.0398 Er
2.5499 -1.8182 9.5583 Er
0.0000 0.0000 7.5185 Er
1.8182 6.1864 -2.0398 Er
1.8182 2.5499 5.4787 Er
1.8182 6.1864 2.0398 Er
1.8182 2.5499 9.5583 Er
0.0000 0.0000 3.7593 Th
0.0000 0.0000 11.2778 Th
```



Record 12
The following is a PBE calculation of a relaxed structure of PrDy5Er2Th, from the Alexandria database.

Results
**Space-group type**: No. 36
**Formation energy from the elements**: 0.167 eV per atom
**Magnetization**: 0.00 μB per formula unit

Structure (POSCAR):
```
PrDy5Er2Th
1.0
2.8636 -10.6470 0.0000
2.8636 10.6470 0.0000
0.0000 0.0000 9.7077
Pr Dy Er Th
2 10 4 2
Cartesian
2.8636 8.6095 4.8538 Pr
2.8636 -8.6095 0.0000 Pr
2.8636 10.0293 7.9615 Dy
2.8636 8.3738 1.1095 Dy
2.8636 6.5056 7.7072 Dy
2.8636 5.6818 4.0089 Dy
2.8636 0.2815 0.9159 Dy
2.8636 -0.2815 5.7698 Dy
2.8636 -5.6818 8.8627 Dy
2.8636 -6.5056 2.8533 Dy
2.8636 -8.3738 5.9634 Dy
2.8636 -10.0293 3.1076 Dy
2.8636 2.8639 7.6048 Er
2.8636 2.3877 3.8954 Er
2.8636 -2.3877 8.7492 Er
2.8636 -2.8639 2.7510 Er
2.8636 4.0649 0.9915 Th
2.8636 -4.0649 5.8453 Th
```



Record 13
The following is a PBE calculation of a relaxed structure of PrDy5ErTh2, from the Alexandria database.

Results
**Space-group type**: No. 140
**Formation energy from the elements**: 0.335 eV per atom
**Magnetization**: 0.00 μB per formula unit

Structure (POSCAR):
```
PrDy5ErTh2
1.0
-4.4522 4.4522 7.5926
4.4522 -4.4522 7.5926
4.4522 4.4522 -7.5926
Pr Dy Er Th
2 10 2 4
Cartesian
0.0000 0.0000 3.7963 Pr
0.0000 0.0000 11.3890 Pr
0.0000 0.0000 0.0000 Dy
6.3005 1.8483 -2.0789 Dy
1.8483 2.6039 -2.0789 Dy
6.3005 1.8483 2.0789 Dy
1.8483 2.6039 2.0789 Dy
0.0000 0.0000 7.5926 Dy
2.6039 1.8483 5.5138 Dy
-1.8483 2.6039 5.5138 Dy
2.6039 1.8483 9.6715 Dy
-1.8483 2.6039 9.6715 Dy
4.4522 0.0000 3.7963 Er
0.0000 4.4522 3.7963 Er
3.3968 1.0554 0.0000 Th
3.3968 -1.0554 7.5926 Th
1.0554 5.5076 0.0000 Th
1.0554 3.3968 7.5926 Th
```



Record 14
The following is a PBE calculation of a relaxed structure of Pr2DyEr2Th2, from the Alexandria database.

Results
**Space-group type**: No. 12
**Formation energy from the elements**: 0.172 eV per atom
**Magnetization**: 0.00 μB per formula unit

Structure (POSCAR):
```
Pr2DyEr2Th2
1.0
17.7862 0.0000 0.0000
0.0000 3.4832 0.0000
-3.9787 0.0000 7.5778
Pr Dy Er Th
4 2 4 4
Cartesian
1.0840 0.0000 2.8117 Pr
3.8305 1.7416 4.7661 Pr
9.9771 1.7416 2.8117 Pr
12.7236 0.0000 4.7661 Pr
-1.9893 1.7416 3.7889 Dy
6.9038 0.0000 3.7889 Dy
0.5479 1.7416 6.0729 Er
4.3665 0.0000 1.5049 Er
9.4410 0.0000 6.0729 Er
13.2596 1.7416 1.5049 Er
-2.4254 0.0000 6.8572 Th
7.3398 1.7416 0.7205 Th
6.4677 1.7416 6.8572 Th
16.2329 0.0000 0.7205 Th
```



Record 15
The following is a PBE calculation of a relaxed structure of Pr2DyErTh, from the Alexandria database.

Results
**Space-group type**: No. 13
**Formation energy from the elements**: 0.331 eV per atom
**Magnetization**: 0.00 μB per formula unit

Structure (POSCAR):
```
Pr2DyErTh
1.0
8.5791 0.0000 0.0000
0.0000 6.4788 0.0000
-0.6494 0.0000 6.3008
Pr Dy Er Th
4 2 2 2
Cartesian
1.4408 1.2836 1.7776 Pr
1.1161 5.1951 4.9280 Pr
6.8136 1.2836 1.3728 Pr
6.4889 5.1951 4.5232 Pr
3.8025 0.3479 4.7256 Dy
4.1272 6.1308 1.5752 Dy
-0.4871 2.1366 4.7256 Er
-0.1624 4.3421 1.5752 Er
4.2896 3.2394 0.0000 Th
3.9648 3.2394 3.1504 Th
```



Record 16
The following is a PBE calculation of a relaxed structure of Pr2Dy4ErTh, from the Alexandria database.

Results
**Space-group type**: No. 123
**Formation energy from the elements**: 0.123 eV per atom
**Magnetization**: 0.00 μB per formula unit

Structure (POSCAR):
```
Pr2Dy4ErTh
1.0
5.9255 0.0000 0.0000
0.0000 5.9255 0.0000
0.0000 0.0000 7.4536
Pr Dy Er Th
2 4 1 1
Cartesian
0.0000 0.0000 0.0000 Pr
2.9627 2.9627 3.7268 Pr
0.0000 2.9627 1.8576 Dy
0.0000 2.9627 5.5960 Dy
2.9627 0.0000 1.8576 Dy
2.9627 0.0000 5.5960 Dy
2.9627 2.9627 0.0000 Er
0.0000 0.0000 3.7268 Th
```



Record 17
The following is a PBE calculation of a relaxed structure of Pr6DyEr2Th, from the Alexandria database.

Results
**Space-group type**: No. 15
**Formation energy from the elements**: 0.141 eV per atom
**Magnetization**: 0.00 μB per formula unit

Structure (POSCAR):
```
Pr6DyEr2Th
1.0
4.7198 -7.5591 0.0000
4.7198 7.5591 0.0000
-1.3784 0.0000 9.6901
Pr Dy Er Th
12 2 4 2
Cartesian
2.4849 4.2813 1.8214 Pr
3.3303 4.9365 5.4060 Pr
4.0417 4.9365 9.1290 Pr
3.3065 1.6113 3.6978 Pr
6.2655 4.2813 3.0236 Pr
5.4439 1.6113 1.1472 Pr
2.6173 -1.6113 8.5429 Pr
1.7957 -4.2813 6.6664 Pr
4.7547 -1.6113 5.9922 Pr
4.0195 -4.9365 0.5610 Pr
4.7309 -4.9365 4.2840 Pr
5.5763 -4.2813 7.8687 Pr
3.6860 1.3873 7.2675 Dy
4.3752 -1.3873 2.4225 Dy
2.2297 0.6738 0.5011 Er
1.5405 -0.6738 5.3461 Er
6.5207 0.6738 4.3439 Er
5.8315 -0.6738 9.1890 Er
4.3752 7.0979 2.4225 Th
3.6860 -7.0979 7.2675 Th
```



Record 18
The following is a PBE calculation of a relaxed structure of PrDy3Er6Th2, from the Alexandria database.

Results
**Space-group type**: No. 12
**Formation energy from the elements**: 0.033 eV per atom
**Magnetization**: 0.00 μB per formula unit

Structure (POSCAR):
```
PrDy3Er6Th2
1.0
3.0827 -5.3356 0.0000
3.0827 5.3356 0.0000
-2.0573 0.0000 11.4867
Pr Dy Er Th
1 3 6 2
Cartesian
0.0000 0.0000 0.0000 Pr
2.0541 3.5613 5.7433 Dy
2.0541 0.0000 5.7433 Dy
2.0541 -3.5613 5.7433 Dy
1.0449 1.8038 2.8624 Er
0.0261 0.0000 8.6245 Er
1.0449 -1.8038 2.8624 Er
3.0632 1.8038 8.6243 Er
4.0820 0.0000 2.8622 Er
3.0632 -1.8038 8.6243 Er
3.0827 1.7796 0.0000 Th
3.0827 -1.7796 0.0000 Th
```



Record 19
The following is a PBE calculation of a relaxed structure of PrDyEr5Th2, from the Alexandria database.

Results
**Space-group type**: No. 140
**Formation energy from the elements**: 0.333 eV per atom
**Magnetization**: 0.00 μB per formula unit

Structure (POSCAR):
```
PrDyEr5Th2
1.0
-4.3685 4.3685 7.7128
4.3685 -4.3685 7.7128
4.3685 4.3685 -7.7128
Pr Dy Er Th
2 2 10 4
Cartesian
4.3685 0.0000 3.8564 Pr
0.0000 4.3685 3.8564 Pr
0.0000 0.0000 3.8564 Dy
0.0000 0.0000 11.5692 Dy
0.0000 0.0000 0.0000 Er
6.1868 1.8184 -2.1465 Er
1.8184 2.5501 -2.1465 Er
6.1868 1.8184 2.1465 Er
1.8184 2.5501 2.1465 Er
0.0000 0.0000 7.7128 Er
2.5501 1.8184 5.5663 Er
-1.8184 2.5501 5.5663 Er
2.5501 1.8184 9.8593 Er
-1.8184 2.5501 9.8593 Er
3.3267 1.0418 0.0000 Th
3.3267 -1.0418 7.7128 Th
1.0418 5.4102 0.0000 Th
1.0418 3.3267 7.7128 Th
```